(1)
The following is a DFT calculation (PBE-GGA) of a geometry-optimized Fe2NiMo structure.

Lattice parameters (Å, degrees): 5.1908 7.3491 2.6041 90.00 90.00 90.00
With the nearest neighbours (Å) after each atom.
Space group Cmmm (No. 65)
Inequivalent atoms, fractional coordinates:
Fe 0.2500 0.2500 0.0000 (multiplicity 4)  4 Fe 2.60, 4 Mo 2.60, 4 Ni 2.60
Ni 0.0000 0.0000 0.5000 (multiplicity 2)  2 Mo 2.60, 8 Fe 2.60, 2 Ni 2.60
Mo 0.0000 0.5000 0.5000 (multiplicity 2)  2 Ni 2.60, 8 Fe 2.60, 2 Mo 2.60

Values from the calculation:
VASP energy = -8.223 eV/atom
magnetic moment = 3.73 μB/f.u.
Fermi-level density of states = 4.4 states/eV/f.u.

---

(2)
The following is a DFT calculation (PBE-GGA) of a geometry-optimized Fe4NiMo structure.

Lattice parameters (Å, degrees): 6.5805 6.5805 6.5805 90.00 90.00 90.00
With the nearest neighbours (Å) after each atom.
Space group F-43m (No. 216)
Inequivalent atoms, fractional coordinates:
Fe 0.1241 0.1241 0.3759 (multiplicity 16)  6 Fe 2.31-2.34
Ni 0.2500 0.2500 0.7500 (multiplicity 4)  12 Fe 2.73, 4 Mo 2.85
Mo 0.0000 0.0000 0.0000 (multiplicity 4)  12 Fe 2.73, 4 Ni 2.85

Values from the calculation:
VASP energy = -8.376 eV/atom
magnetic moment = 6.04 μB/f.u.
Fermi-level density of states = 3.1 states/eV/f.u.

---

(3)
The following is a DFT calculation (PBE-GGA) of a geometry-optimized Fe2Ni6Mo structure.

Lattice parameters (Å, degrees): 13.1126 2.5680 7.6279 90.00 125.47 90.00
With the nearest neighbours (Å) after each atom.
Space group C2/m (No. 12)
Inequivalent atoms, fractional coordinates:
Fe 0.1717 0.0000 0.0012 (multiplicity 4)  4 Fe 2.43-2.57, 6 Ni 2.51-2.59, 2 Mo 2.59
Ni 0.0006 0.5000 0.6670 (multiplicity 4)  9 Ni 2.52-2.57, 1 Mo 2.54, 2 Fe 2.56
Ni 0.1662 0.0000 0.6666 (multiplicity 4)  3 Fe 2.51-2.52, 9 Ni 2.52-2.57
Ni 0.1695 0.0000 0.3381 (multiplicity 4)  9 Ni 2.48-2.57, 2 Mo 2.57, 1 Fe 2.59
Mo 0.0000 0.5000 0.0000 (multiplicity 2)  6 Ni 2.54-2.57, 2 Mo 2.57, 4 Fe 2.59

Values from the calculation:
VASP energy = -6.901 eV/atom
magnetic moment = 6.77 μB/f.u.
Fermi-level density of states = 10.8 states/eV/f.u.

---

(4)
The following is a DFT calculation (PBE-GGA) of a geometry-optimized FeNi4Mo structure.

Lattice parameters (Å, degrees): 6.5775 6.5775 6.5775 90.00 90.00 90.00
With the nearest neighbours (Å) after each atom.
Space group F-43m (No. 216)
Inequivalent atoms, fractional coordinates:
Fe 0.0000 0.0000 0.0000 (multiplicity 4)  12 Ni 2.73, 4 Mo 2.85
Ni 0.1251 0.1251 0.6251 (multiplicity 16)  6 Ni 2.32-2.33
Mo 0.2500 0.2500 0.2500 (multiplicity 4)  12 Ni 2.73, 4 Fe 2.85

Values from the calculation:
E above lowest polymorph = 0.018 eV per atom
VASP energy = -7.037 eV/atom
magnetic moment = 2.23 μB/f.u.
Fermi-level density of states = 5.2 states/eV/f.u.

---

(5)
The following is a DFT calculation (PBE-GGA) of a geometry-optimized FeNi2Mo structure.

Lattice parameters (Å, degrees): 2.9758 2.9758 5.5639 90.00 90.00 90.00
With the nearest neighbours (Å) after each atom.
Space group P4mm (No. 99)
Inequivalent atoms, fractional coordinates:
Fe 0.0000 0.0000 0.0000 (multiplicity 1)  5 Ni 2.43-2.51, 4 Mo 2.62
Ni 0.0000 0.0000 0.5483 (multiplicity 1)  4 Ni 2.47, 1 Fe 2.51, 4 Mo 2.58
Ni 0.5000 0.5000 0.7818 (multiplicity 1)  4 Fe 2.43, 4 Ni 2.47
Mo 0.5000 0.5000 0.2799 (multiplicity 1)  6 Ni 2.58-2.79, 4 Fe 2.62

Values from the calculation:
E above lowest polymorph = 0.092 eV per atom
VASP energy = -7.631 eV/atom
magnetic moment = 2.79 μB/f.u.
Fermi-level density of states = 4.5 states/eV/f.u.

---

(6)
The following is a DFT calculation (PBE-GGA) of a geometry-optimized Fe6Ni23Mo structure.

Lattice parameters (Å, degrees): 7.0962 7.0962 13.8988 90.00 90.00 90.00
With the nearest neighbours (Å) after each atom.
Space group I4/mmm (No. 139)
Inequivalent atoms, fractional coordinates:
Fe 0.0000 0.0000 0.2493 (multiplicity 4)  12 Ni 2.48-2.51
Fe 0.2459 0.2459 0.5000 (multiplicity 8)  11 Ni 2.47-2.54, 1 Mo 2.55
Ni 0.0000 0.0000 0.5000 (multiplicity 2)  4 Fe 2.47, 8 Ni 2.51
Ni 0.0000 0.2511 0.3729 (multiplicity 16)  8 Ni 2.46-2.52, 3 Fe 2.48
Ni 0.0000 0.2573 0.1289 (multiplicity 16)  7 Ni 2.45-2.58, 3 Fe 2.48-2.54, 1 Mo 2.56
Ni 0.0000 0.5000 0.0000 (multiplicity 4)  8 Ni 2.48-2.50, 4 Fe 2.51
Ni 0.2500 0.2500 0.2500 (multiplicity 8)  8 Ni 2.45-2.46, 2 Fe 2.51
Mo 0.0000 0.0000 0.0000 (multiplicity 2)  4 Fe 2.55, 8 Ni 2.56

Values from the calculation:
VASP energy = -6.426 eV/atom
magnetic moment = 28.10 μB/f.u.
Fermi-level density of states = 35.9 states/eV/f.u.

---

(7)
The following is a DFT calculation (PBE-GGA) of a geometry-optimized Fe2Ni5Mo structure.

Lattice parameters (Å, degrees): 13.7019 4.4023 6.5766 90.00 107.34 90.00
With the nearest neighbours (Å) after each atom.
Space group C2/c (No. 15)
Inequivalent atoms, fractional coordinates:
Fe 0.1213 0.1819 0.1243 (multiplicity 8)  10 Ni 2.44-2.65, 1 Mo 2.59
Ni 0.0000 0.1594 0.7500 (multiplicity 4)  8 Ni 2.45-2.57, 4 Fe 2.53-2.55
Ni 0.0606 0.3369 0.4363 (multiplicity 8)  4 Fe 2.47-2.61, 7 Ni 2.52-2.61, 1 Mo 2.53
Ni 0.1806 0.2908 0.8150 (multiplicity 8)  2 Mo 2.40-2.53, 4 Fe 2.44-2.65, 4 Ni 2.45-2.63
Mo 0.2500 0.2500 0.5000 (multiplicity 4)  6 Ni 2.40-2.53, 2 Fe 2.59

Values from the calculation:
VASP energy = -7.022 eV/atom
magnetic moment = 6.96 μB/f.u.
Fermi-level density of states = 8.6 states/eV/f.u.

---

(8)
The following is a DFT calculation (PBE-GGA) of a geometry-optimized Fe4Ni2Mo structure.

Lattice parameters (Å, degrees): 4.3095 4.3095 12.0408 90.00 90.00 90.00
With the nearest neighbours (Å) after each atom.
Space group I4/mmm (No. 139)
Inequivalent atoms, fractional coordinates:
Fe 0.0000 0.0000 0.2077 (multiplicity 4)  1 Ni 2.28, 1 Mo 2.50
Fe 0.0000 0.5000 0.0000 (multiplicity 4)  2 Mo 2.15
Ni 0.0000 0.0000 0.3974 (multiplicity 4)  5 Fe 2.28-2.48, 1 Ni 2.47
Mo 0.0000 0.0000 0.0000 (multiplicity 2)  4 Fe 2.15

Values from the calculation:
VASP energy = -6.822 eV/atom
magnetic moment = 8.73 μB/f.u.
Fermi-level density of states = 8.8 states/eV/f.u.

---

Q: What is the formula in the sixth record?
A: Fe6Ni23Mo